(i)
Entry from Alexandria: an optimized crystal structure of CaRu3Cl (PBE).

a = 4.4433 Å, b = 4.4433 Å, c = 4.4433 Å
α = 90.00°, β = 90.00°, γ = 90.00°
Positions (direct):
Ca1 0.0000 0.0000 0.0000
Ru1 0.0000 0.5000 0.5000
Ru2 0.5000 0.0000 0.5000
Ru3 0.5000 0.5000 0.0000
Cl1 0.5000 0.5000 0.5000

Properties
DOS(E_F), states/eV per cell: 5.4

---

(ii)
Entry from Alexandria: an optimized crystal structure of CaRu3Cl (PBE).

a = 4.9484 Å, b = 4.9484 Å, c = 4.9484 Å
α = 90.00°, β = 90.00°, γ = 90.00°
Positions (direct):
Ca1 0.0000 0.0000 0.0000
Ru1 0.0000 0.0000 0.5000
Ru2 0.0000 0.5000 0.0000
Ru3 0.5000 0.0000 0.0000
Cl1 0.5000 0.5000 0.5000

Properties
DOS(E_F), states/eV per cell: 5.3

---

The structure with the most favorable energy is (i); the runner-up is 1.630 eV/atom above it.

---

(i)
Entry from Alexandria: an optimized crystal structure of CaSCl2 (PBE).

a = 7.1299 Å, b = 7.1299 Å, c = 7.1299 Å
α = 90.00°, β = 90.00°, γ = 90.00°
Positions (direct):
Ca1 0.0000 0.0000 0.0000
Ca2 0.0000 0.5000 0.5000
Ca3 0.5000 0.0000 0.5000
Ca4 0.5000 0.5000 0.0000
S1 0.0000 0.0000 0.5000
S2 0.0000 0.5000 0.0000
S3 0.5000 0.0000 0.0000
S4 0.5000 0.5000 0.5000
Cl1 0.2500 0.2500 0.2500
Cl2 0.2500 0.2500 0.7500
Cl3 0.2500 0.7500 0.2500
Cl4 0.2500 0.7500 0.7500
Cl5 0.7500 0.2500 0.2500
Cl6 0.7500 0.2500 0.7500
Cl7 0.7500 0.7500 0.2500
Cl8 0.7500 0.7500 0.7500

Properties
DOS(E_F), states/eV per cell: 12.6

---

(ii)
Entry from Alexandria: an optimized crystal structure of CaSCl2 (PBE).

a = 9.8587 Å, b = 9.8587 Å, c = 5.5512 Å
α = 90.00°, β = 90.00°, γ = 90.00°
Positions (direct):
Ca1 0.0000 0.0000 0.0000
Ca2 0.0000 0.5000 0.2500
Ca3 0.5000 0.0000 0.7500
Ca4 0.5000 0.5000 0.5000
S1 0.0000 0.0000 0.5000
S2 0.0000 0.5000 0.7500
S3 0.5000 0.0000 0.2500
S4 0.5000 0.5000 0.0000
Cl1 0.0814 0.2500 0.1250
Cl2 0.2500 0.5814 0.3750
Cl3 0.2500 0.9186 0.8750
Cl4 0.4186 0.2500 0.6250
Cl5 0.5814 0.7500 0.6250
Cl6 0.7500 0.0814 0.8750
Cl7 0.7500 0.4186 0.3750
Cl8 0.9186 0.7500 0.1250

Properties
DOS(E_F), states/eV per cell: 2.0

---

(iii)
Entry from Alexandria: an optimized crystal structure of CaSCl2 (PBE).

a = 4.0280 Å, b = 4.0280 Å, c = 29.7884 Å
α = 90.00°, β = 90.00°, γ = 120.00°
Positions (direct):
Ca1 0.0000 0.0000 0.0000
Ca2 0.3333 0.6667 0.6667
Ca3 0.6667 0.3333 0.3333
S1 0.0000 0.0000 0.5000
S2 0.3333 0.6667 0.1667
S3 0.6667 0.3333 0.8333
Cl1 0.0000 0.0000 0.3821
Cl2 0.0000 0.0000 0.6179
Cl3 0.3333 0.6667 0.0487
Cl4 0.3333 0.6667 0.2846
Cl5 0.6667 0.3333 0.7154
Cl6 0.6667 0.3333 0.9513

Properties
DOS(E_F), states/eV per cell: 3.7

---

The structure with the most favorable energy is (iii); the runner-up is 0.167 eV/atom above it.

---

(i)
Entry from Alexandria: an optimized crystal structure of CaSiS2Cl (PBE).

a = 4.6903 Å, b = 4.6903 Å, c = 4.7242 Å
α = 90.00°, β = 90.00°, γ = 90.00°
Positions (direct):
Ca1 0.0000 0.0000 0.0000
Si1 0.5000 0.5000 0.5000
S1 0.0000 0.5000 0.5000
S2 0.5000 0.0000 0.5000
Cl1 0.5000 0.5000 0.0000

Properties
DOS(E_F), states/eV per cell: 1.0

---

(ii)
Entry from Alexandria: an optimized crystal structure of CaSiS2Cl (PBE).

a = 5.2427 Å, b = 5.2427 Å, c = 5.0731 Å
α = 90.00°, β = 90.00°, γ = 90.00°
Positions (direct):
Ca1 0.0000 0.0000 0.0000
Si1 0.5000 0.5000 0.5000
S1 0.0000 0.5000 0.0000
S2 0.5000 0.0000 0.0000
Cl1 0.0000 0.0000 0.5000

Properties
DOS(E_F), states/eV per cell: 5.7

---

The structure with the most favorable energy is (i); the runner-up is 0.906 eV/atom above it.